Density functional theory data (PBE-GGA) for crystalline YGeTeI2 at its relaxed geometry.

CIF file:
```
data_YGeTeI2
_cell_length_a 5.905
_cell_length_b 5.905
_cell_length_c 6.022
_cell_angle_alpha 90.00
_cell_angle_beta 90.00
_cell_angle_gamma 90.00
_space_group_name_H-M_alt 'P 4/m m m'
_space_group_IT_number 123
_space_group_name_Hall '-P 4 2'
loop_
_atom_site_label
_atom_site_type_symbol
_atom_site_fract_x
_atom_site_fract_y
_atom_site_fract_z
Y1 Y 0.000 0.000 0.000
Ge1 Ge 0.500 0.500 0.500
Te1 Te 0.000 0.000 0.500
I1 I 0.000 0.500 0.000
```

Computed properties:
DOS(E_F) ... 3.06 states/eV per cell
Energy relative to the elements, uncorrected ... -6.15 kcal/mol of atoms
Energy above the most stable polymorph in this dataset ... 0 meV per atom
Spin magnetization ... 1.00 μB per formula unit

Density functional theory data (PBE-GGA) for crystalline LiGaC at its relaxed geometry.

CIF file:
```
data_LiGaC
_cell_length_a 4.589
_cell_length_b 5.933
_cell_length_c 6.218
_cell_angle_alpha 90.00
_cell_angle_beta 90.00
_cell_angle_gamma 90.00
_space_group_name_H-M_alt 'C m c m'
_space_group_IT_number 63
_space_group_name_Hall '-C 2c 2'
loop_
_atom_site_label
_atom_site_type_symbol
_atom_site_fract_x
_atom_site_fract_y
_atom_site_fract_z
Li1 Li 0.000 0.038 0.250
Ga1 Ga 0.000 0.500 0.000
C1 C 0.000 0.322 0.750
```

Computed properties:
DOS(E_F) ... 0.00 states/eV per cell
Spin magnetization ... 0.00 μB per formula unit
Energy of formation from the pure elements ... 0.58 eV per atom

Density functional theory data (PBE-GGA) for crystalline LaFeBr at its relaxed geometry.

CIF file:
```
data_LaFeBr
_cell_length_a 3.8860
_cell_length_b 3.8860
_cell_length_c 6.4741
_cell_angle_alpha 90.00
_cell_angle_beta 90.00
_cell_angle_gamma 120.00
_space_group_name_H-M_alt 'P 3 m 1'
_space_group_IT_number 156
_space_group_name_Hall 'P 3 -2"'
loop_
_atom_site_label
_atom_site_type_symbol
_atom_site_fract_x
_atom_site_fract_y
_atom_site_fract_z
La1 La 0.0000 0.0000 0.0000
Fe1 Fe 0.6667 0.3333 0.6879
Br1 Br 0.3333 0.6667 0.3456
```

Computed properties:
DOS(E_F) ... 5.34 states/eV per cell
Energy relative to the elements, uncorrected ... -0.47 kcal/mol of atoms
Spin magnetization ... 2.06 μB per formula unit

Density functional theory data (PBE-GGA) for crystalline Pu2GaPb at its relaxed geometry.

CIF file:
```
data_Pu2GaPb
_cell_length_a 4.042
_cell_length_b 4.042
_cell_length_c 6.141
_cell_angle_alpha 90.00
_cell_angle_beta 90.00
_cell_angle_gamma 90.00
_space_group_name_H-M_alt 'P 4/m m m'
_space_group_IT_number 123
_space_group_name_Hall '-P 4 2'
loop_
_atom_site_label
_atom_site_type_symbol
_atom_site_fract_x
_atom_site_fract_y
_atom_site_fract_z
Pu1 Pu 0.000 0.000 0.235
Ga1 Ga 0.500 0.500 0.000
Pb1 Pb 0.500 0.500 0.500
```

Computed properties:
DOS(E_F) ... 15.58 states/eV per cell
Energy above the most stable polymorph in this dataset ... 27 meV per atom
Spin magnetization ... 11.26 μB per formula unit
Energy of formation from the pure elements ... -0.17 eV per atom